Compound: MnTlBr2
Source: the Alexandria database
Functional: PBE-GGA
Structure: optimized geometry

Output
M_tot: 0.019 μB per cell
energy relative to the lowest polymorph listed for this composition: 487 meV/atom
formation energy from raw total energies: 0.025 eV/f.u.
space group: R-3m (166)

Lattice parameters (Å, degrees): 9.8268 9.8268 9.8268 20.96 20.96 20.96
With the nearest neighbours (Å) after each atom.
Atoms (fractional coordinates):
Tl 0.0000 0.0000 0.0000  2 Br 3.43, 6 Tl 3.57
Mn 0.5000 0.5000 0.5000  6 Br 2.48
Br 0.1189 0.1189 0.1189  3 Mn 2.48
Br 0.8811 0.8811 0.8811  3 Mn 2.48